Entry 1:
Computed, not measured: a relaxed structure of La2PrCoC2 at the PBE level of DFT.

Cell: 5.7777 11.4701 3.8756 Å, 90.00 90.00 90.00°
Closest atoms and distances in Å follow each position.
Atoms (fractional coordinates):
La1 0.0114 0.2010 0.0000  3 C 2.58-2.70
La2 0.4886 0.7010 0.5000  3 C 2.58-2.70
La3 0.5114 0.2990 0.5000  3 C 2.58-2.70
La4 0.9886 0.7990 0.0000  3 C 2.58-2.70
Pr1 0.0000 0.5000 0.5000  4 C 2.75
Pr2 0.5000 0.0000 0.0000  4 C 2.75
Co1 0.0000 0.0000 0.5000  2 C 1.86
Co2 0.5000 0.5000 0.0000  2 C 1.86
C1 0.2399 0.1076 0.5000  1 Co 1.86
C2 0.2601 0.6076 0.0000  1 Co 1.86
C3 0.7399 0.3924 0.0000  1 Co 1.86
C4 0.7601 0.8924 0.5000  1 Co 1.86

## Properties
- formation energy (eV per atom) = 0.000

Entry 2:
Computed, not measured: a relaxed structure of LaCoPtC2 at the PBE level of DFT.

Cell: 3.8988 3.8988 6.2584 Å, 90.00 90.00 90.00°
Closest atoms and distances in Å follow each position.
Atoms (fractional coordinates):
La1 0.0000 0.0000 0.0000  4 Co 2.76
Co1 0.5000 0.5000 0.0000  4 La 2.76
Pt1 0.0000 0.0000 0.5000  4 C 1.95
C1 0.0000 0.5000 0.5000  2 Pt 1.95
C2 0.5000 0.0000 0.5000  2 Pt 1.95

## Properties
- formation energy (eV per atom) = 1.474

Entry 3:
Computed, not measured: a relaxed structure of RbLaCo2C at the PBE level of DFT.

Cell: 5.1483 5.1483 4.8285 Å, 90.00 90.00 90.00°
Closest atoms and distances in Å follow each position.
Atoms (fractional coordinates):
Rb1 0.0000 0.0000 0.0000  8 Co 3.53, 4 C 3.64
La1 0.5000 0.5000 0.5000  2 C 2.41, 4 Co 2.57
Co1 0.0000 0.5000 0.5000  2 La 2.57
Co2 0.5000 0.0000 0.5000  2 La 2.57
C1 0.5000 0.5000 0.0000  2 La 2.41

## Properties
- formation energy (eV per atom) = 1.779

Entry 4:
Computed, not measured: a relaxed structure of La2CoCS at the PBE level of DFT.

Cell: 5.2577 5.2577 3.6244 Å, 90.00 90.00 90.00°
Closest atoms and distances in Å follow each position.
Atoms (fractional coordinates):
La1 0.0000 0.5000 0.0000  2 C 2.63
La2 0.5000 0.0000 0.0000  2 C 2.63
Co1 0.0000 0.0000 0.5000  2 C 1.81
C1 0.0000 0.0000 0.0000  2 Co 1.81
S1 0.5000 0.5000 0.5000  8 La 3.19

## Properties
- E_tot (eV per atom) = -6.90